<a>
The following is a DFT calculation (meta-GGA SCAN) of a PBEsol-optimized structure of BeAl2Te.

a = 3.7867 Å, b = 3.7867 Å, c = 5.8132 Å
α = 109.01°, β = 109.01°, γ = 90.00°
Fractional positions:
1 Be 0.5000 0.5000 0.0000
2 Te 0.0000 0.0000 0.0000
3 Al 0.7500 0.2500 0.5000
4 Al 0.2500 0.7500 0.5000

Computed properties:
volume: 18.50 Å³/atom
total magnetization: 0.0 μB/f.u.
symmetry: I4/mmm, No. 139
N(E_F): 1.44 states/eV/f.u.

***

<b>
The following is a DFT calculation (meta-GGA SCAN) of a PBEsol-optimized structure of BeAl2Te.

a = 3.6419 Å, b = 3.6419 Å, c = 5.8072 Å
α = 90.00°, β = 90.00°, γ = 90.00°
Fractional positions:
1 Be 0.0000 0.0000 0.6058
2 Te 0.5000 0.5000 0.6509
3 Al 0.0000 0.0000 0.0500
4 Al 0.5000 0.5000 0.1934

Computed properties:
volume: 19.26 Å³/atom
total magnetization: 0.0 μB/f.u.
symmetry: P4mm, No. 99
N(E_F): 1.39 states/eV/f.u.

***

<c>
The following is a DFT calculation (meta-GGA SCAN) of a PBEsol-optimized structure of BeAl2Te.

a = 3.9022 Å, b = 3.9128 Å, c = 6.0058 Å
α = 108.96°, β = 90.00°, γ = 119.91°
Fractional positions:
1 Be 0.0000 0.0000 0.5000
2 Te 0.5000 0.0000 0.0000
3 Al 0.7182 0.4365 0.6546
4 Al 0.2818 0.5635 0.3454

Computed properties:
volume: 18.42 Å³/atom
total magnetization: 0.0 μB/f.u.
symmetry: C2/m, No. 12
N(E_F): 1.57 states/eV/f.u.

***

<d>
The following is a DFT calculation (meta-GGA SCAN) of a PBEsol-optimized structure of BeAl2Te.

a = 3.6592 Å, b = 3.6592 Å, c = 6.9600 Å
α = 74.76°, β = 74.76°, γ = 60.00°
Fractional positions:
1 Be 0.5015 0.5015 0.4954
2 Te 0.2332 0.2332 0.3005
3 Al 0.0043 0.0043 0.9871
4 Al 0.7610 0.7610 0.7170

Computed properties:
volume: 19.23 Å³/atom
total magnetization: 0.0 μB/f.u.
symmetry: R3m, No. 160
N(E_F): 1.29 states/eV/f.u.

***

<c> is favored, and the nearest alternative lies 0.090 eV/atom above it.

***

<a>
The following is a DFT calculation (meta-GGA SCAN) of a PBEsol-optimized structure of BeAl2Te.

a = 3.5220 Å, b = 5.1489 Å, c = 5.1489 Å
α = 59.92°, β = 70.00°, γ = 70.00°
Fractional positions:
1 Be 0.4995 0.5005 0.5005
2 Te 0.2141 0.2859 0.2859
3 Al 0.0071 0.9929 0.9929
4 Al 0.7794 0.7206 0.7206

Computed properties:
volume: 18.56 Å³/atom
total magnetization: 0.0 μB/f.u.
symmetry: Imm2, No. 44
N(E_F): 1.74 states/eV/f.u.

***

<b>
The following is a DFT calculation (meta-GGA SCAN) of a PBEsol-optimized structure of BeAl2Te.

a = 3.7466 Å, b = 3.7466 Å, c = 5.2816 Å
α = 90.00°, β = 90.00°, γ = 90.00°
Fractional positions:
1 Be 0.5000 0.5000 0.5000
2 Te 0.0000 0.0000 0.5000
3 Al 0.0000 0.5000 0.0000
4 Al 0.5000 0.0000 0.0000

Computed properties:
volume: 18.53 Å³/atom
total magnetization: 0.0 μB/f.u.
symmetry: P4/mmm, No. 123
N(E_F): 1.74 states/eV/f.u.

***

<a> is favored, and the nearest alternative lies 0.007 eV/atom above it.

***

<a>
The following is a DFT calculation (meta-GGA SCAN) of a PBEsol-optimized structure of BeAlTe.

a = 3.4026 Å, b = 3.4026 Å, c = 5.8831 Å
α = 100.13°, β = 100.13°, γ = 113.08°
Fractional positions:
1 Be 0.3324 0.3324 0.6648
2 Te 0.6937 0.6937 0.3874
3 Al 0.9739 0.9739 0.9478

Computed properties:
volume: 19.80 Å³/atom
total magnetization: 0.0 μB/f.u.
symmetry: Fmm2, No. 42
N(E_F): 1.24 states/eV/f.u.

***

<b>
The following is a DFT calculation (meta-GGA SCAN) of a PBEsol-optimized structure of BeAlTe.

a = 4.4897 Å, b = 4.4897 Å, c = 4.4897 Å
α = 60.00°, β = 60.00°, γ = 60.00°
Fractional positions:
1 Be 0.0000 0.0000 0.0000
2 Te 0.5000 0.5000 0.5000
3 Al 0.2500 0.2500 0.2500

Computed properties:
volume: 21.33 Å³/atom
total magnetization: 0.3 μB/f.u.
symmetry: F-43m, No. 216
N(E_F): 2.01 states/eV/f.u.

***

<a> is favored, and the nearest alternative lies 0.209 eV/atom above it.

***

<a>
The following is a DFT calculation (meta-GGA SCAN) of a PBEsol-optimized structure of BeAlTl2.

a = 4.5598 Å, b = 5.1226 Å, c = 4.5598 Å
α = 63.57°, β = 90.00°, γ = 116.43°
Fractional positions:
1 Be 0.0000 0.0000 0.0000
2 Tl 0.2500 0.5000 0.2500
3 Tl 0.7500 0.5000 0.7500
4 Al 0.5000 0.0000 0.5000

Computed properties:
volume: 20.69 Å³/atom
total magnetization: 0.0 μB/f.u.
symmetry: I4/mmm, No. 139
N(E_F): 1.69 states/eV/f.u.

***

<b>
The following is a DFT calculation (meta-GGA SCAN) of a PBEsol-optimized structure of BeAlTl2.

a = 4.1460 Å, b = 4.1460 Å, c = 5.6496 Å
α = 111.53°, β = 111.53°, γ = 90.00°
Fractional positions:
1 Be 0.2500 0.7500 0.5000
2 Tl 0.0000 0.0000 0.0000
3 Tl 0.7500 0.2500 0.5000
4 Al 0.5000 0.5000 0.0000

Computed properties:
volume: 20.75 Å³/atom
total magnetization: 0.0 μB/f.u.
symmetry: I-4m2, No. 119
N(E_F): 1.68 states/eV/f.u.

***

<b> is favored, and the nearest alternative lies 0.006 eV/atom above it.

***

<a>
The following is a DFT calculation (meta-GGA SCAN) of a PBEsol-optimized structure of Y2BeAl.

a = 3.5356 Å, b = 3.5356 Å, c = 8.8321 Å
α = 78.45°, β = 78.45°, γ = 60.00°
Fractional positions:
1 Y 0.2569 0.2569 0.2292
2 Y 0.7431 0.7431 0.7708
3 Be 0.0000 0.0000 0.0000
4 Al 0.5000 0.5000 0.5000

Computed properties:
volume: 23.26 Å³/atom
total magnetization: 0.0 μB/f.u.
symmetry: R-3m, No. 166
N(E_F): 2.86 states/eV/f.u.

***

<b>
The following is a DFT calculation (meta-GGA SCAN) of a PBEsol-optimized structure of Y2BeAl.

a = 3.5062 Å, b = 4.7524 Å, c = 6.1892 Å
α = 102.23°, β = 90.00°, γ = 111.65°
Fractional positions:
1 Y 0.7432 0.4863 0.7339
2 Y 0.2568 0.5137 0.2661
3 Be 0.0000 0.0000 0.5000
4 Al 0.5000 0.0000 0.0000

Computed properties:
volume: 23.33 Å³/atom
total magnetization: 0.0 μB/f.u.
symmetry: C2/m, No. 12
N(E_F): 2.80 states/eV/f.u.

***

<a> is favored, and the nearest alternative lies 0.019 eV/atom above it.

***

<a>
The following is a DFT calculation (meta-GGA SCAN) of a PBEsol-optimized structure of BeAl2Zn.

a = 4.3210 Å, b = 4.3210 Å, c = 4.3210 Å
α = 60.00°, β = 60.00°, γ = 60.00°
Fractional positions:
1 Be 0.5000 0.5000 0.5000
2 Zn 0.2500 0.2500 0.2500
3 Al 0.0000 0.0000 0.0000
4 Al 0.7500 0.7500 0.7500

Computed properties:
volume: 14.26 Å³/atom
total magnetization: 0.0 μB/f.u.
symmetry: F-43m, No. 216
N(E_F): 1.47 states/eV/f.u.

***

<b>
The following is a DFT calculation (meta-GGA SCAN) of a PBEsol-optimized structure of BeAl2Zn.

a = 2.6415 Å, b = 3.9269 Å, c = 6.1956 Å
α = 108.48°, β = 102.31°, γ = 90.00°
Fractional positions:
1 Be 0.5000 0.0000 0.0000
2 Zn 0.0000 0.5000 0.0000
3 Al 0.8143 0.8143 0.6286
4 Al 0.1857 0.1857 0.3714

Computed properties:
volume: 14.85 Å³/atom
total magnetization: 0.0 μB/f.u.
symmetry: Immm, No. 71
N(E_F): 1.38 states/eV/f.u.

***

<c>
The following is a DFT calculation (meta-GGA SCAN) of a PBEsol-optimized structure of BeAl2Zn.

a = 3.7697 Å, b = 3.8388 Å, c = 3.8388 Å
α = 90.00°, β = 90.00°, γ = 90.00°
Fractional positions:
1 Be 0.5000 0.5000 0.5000
2 Zn 0.5000 0.0000 0.0000
3 Al 0.0000 0.0000 0.5000
4 Al 0.0000 0.5000 0.0000

Computed properties:
volume: 13.89 Å³/atom
total magnetization: 0.0 μB/f.u.
symmetry: P4/mmm, No. 123
N(E_F): 1.04 states/eV/f.u.

***

<d>
The following is a DFT calculation (meta-GGA SCAN) of a PBEsol-optimized structure of BeAl2Zn.

a = 2.7129 Å, b = 2.7129 Å, c = 7.5429 Å
α = 90.00°, β = 90.00°, γ = 90.00°
Fractional positions:
1 Be 0.5000 0.5000 0.0000
2 Zn 0.5000 0.5000 0.5000
3 Al 0.0000 0.0000 0.7740
4 Al 0.0000 0.0000 0.2260

Computed properties:
volume: 13.88 Å³/atom
total magnetization: 0.0 μB/f.u.
symmetry: P4/mmm, No. 123
N(E_F): 1.17 states/eV/f.u.

***

<d> is favored, and the nearest alternative lies 0.020 eV/atom above it.